Crystalline Ba4CaMn2MoO12 at its relaxed geometry, computed with PBE with a Hubbard U.

Summary:
Calculated total energy, eV/cell: -410.56

The structure in CIF format:
```
data_Ba4CaMn2MoO12
_space_group_name_H-M_alt 'R 3 m'
_space_group_IT_number 160
_space_group_name_Hall 'R 3 -2"'
_cell_length_a 5.9281
_cell_length_b 5.9281
_cell_length_c 29.6859
_cell_angle_alpha 90.00
_cell_angle_beta 90.00
_cell_angle_gamma 120.00
loop_
_atom_site_label
_atom_site_fract_x
_atom_site_fract_y
_atom_site_fract_z
Ba1 0.0000 0.0000 0.0000
Ba2 0.0000 0.0000 0.1430
Ba3 0.0000 0.0000 0.5694
Ba4 0.0000 0.0000 0.7391
Ca1 0.0000 0.0000 0.8635
Mn1 0.0000 0.0000 0.3697
Mn2 0.0000 0.0000 0.4565
Mo1 0.0000 0.0000 0.2788
O1 0.0285 0.5143 0.1570
O2 0.0421 0.5210 0.9937
O3 0.1750 0.3500 0.9153
O4 0.1864 0.3727 0.0760
```